# 1
Compound: Th3SbPb
Source: Alexandria via LeMat-Bulk
Functional: PBE
Structure: relaxed

a b c (Å): 6.3693 6.3930 8.5468
angles (deg): 73.62 73.36 74.79
Positions (direct):
Th 0.0635 0.2212 0.0469
Th 0.2246 0.0541 0.5411
Th 0.3880 0.6210 0.2419
Th 0.6120 0.3790 0.7581
Th 0.7754 0.9459 0.4589
Th 0.9365 0.7788 0.9531
Sb 0.4626 0.8706 0.8458
Sb 0.5374 0.1294 0.1542
Pb 0.1301 0.5303 0.6485
Pb 0.8699 0.4697 0.3515

Properties
For the formation energy (no corrections), the calculation gives -2.235 eV per formula unit. Its symmetry is P-1. As for the density of states at the Fermi level: 8.8 states/eV per cell. The size of the total moment is 0.0 μB per formula unit. As for the total DFT energy (no corrections): -6.465 eV/atom.

=====

# 2
Compound: Th2SbPb
Source: Alexandria via LeMat-Bulk
Functional: PBE
Structure: relaxed

a b c (Å): 8.2303 8.2303 8.2303
angles (deg): 31.50 31.50 31.50
Positions (direct):
Th 0.0000 0.0000 0.0000
Th 0.1725 0.1725 0.1725
Sb 0.5883 0.5883 0.5883
Pb 0.4192 0.4192 0.4192

Properties
For the formation energy (no corrections), the calculation gives -1.869 eV per formula unit. Its symmetry is R3m. As for the density of states at the Fermi level: 3.9 states/eV per cell. The size of the total moment is 0.0 μB per formula unit. As for the total DFT energy (no corrections): -6.135 eV/atom. For the energy above the most stable polymorph in this dataset, the calculation gives 0.1173 eV/atom.

=====

# 3
Compound: Th2SbPb
Source: Alexandria via LeMat-Bulk
Functional: PBE
Structure: relaxed

a b c (Å): 5.5125 5.5125 5.5125
angles (deg): 60.00 60.00 60.00
Positions (direct):
Th 0.2500 0.2500 0.2500
Th 0.7500 0.7500 0.7500
Sb 0.0000 0.0000 0.0000
Pb 0.5000 0.5000 0.5000

Properties
For the formation energy (no corrections), the calculation gives -1.834 eV per formula unit. Its symmetry is Fm-3m. As for the density of states at the Fermi level: 5.2 states/eV per cell. The size of the total moment is 0.0 μB per formula unit. As for the total DFT energy (no corrections): -6.126 eV/atom. For the energy above the most stable polymorph in this dataset, the calculation gives 0.1261 eV/atom.

=====

# 4
Compound: ThSbPb
Source: Alexandria via LeMat-Bulk
Functional: PBE
Structure: relaxed

a b c (Å): 4.5183 4.5183 9.0127
angles (deg): 90.00 90.00 90.00
Positions (direct):
Th 0.2500 0.2500 0.2012
Th 0.7500 0.7500 0.7988
Sb 0.2500 0.2500 0.8445
Sb 0.7500 0.7500 0.1555
Pb 0.2500 0.7500 0.5000
Pb 0.7500 0.2500 0.5000

Properties
For the formation energy (no corrections), the calculation gives -1.635 eV per formula unit. Its symmetry is P4/nmm. As for the density of states at the Fermi level: 5.1 states/eV per cell. The size of the total moment is 0.0 μB per formula unit. As for the total DFT energy (no corrections): -5.628 eV/atom. For the energy above the most stable polymorph in this dataset, the calculation gives 0.0000 eV/atom.

=====

# 5
Compound: Th2SbPb
Source: Alexandria via LeMat-Bulk
Functional: PBE
Structure: relaxed

a b c (Å): 3.7479 3.7479 8.4365
angles (deg): 90.00 90.00 90.00
Positions (direct):
Th 0.0000 0.0000 0.2299
Th 0.0000 0.0000 0.7701
Sb 0.5000 0.5000 0.0000
Pb 0.5000 0.5000 0.5000

Properties
For the formation energy (no corrections), the calculation gives -2.188 eV per formula unit. Its symmetry is P4/mmm. As for the density of states at the Fermi level: 3.4 states/eV per cell. The size of the total moment is 0.0 μB per formula unit. As for the total DFT energy (no corrections): -6.215 eV/atom. For the energy above the most stable polymorph in this dataset, the calculation gives 0.0376 eV/atom.

=====

# 6
Compound: ThSbPb
Source: Alexandria via LeMat-Bulk
Functional: PBE
Structure: relaxed

a b c (Å): 9.5378 9.5378 9.5378
angles (deg): 152.60 152.60 39.14
Positions (direct):
Th 0.1467 0.1467 0.0000
Th 0.8533 0.8533 0.0000
Sb 0.3248 0.3248 0.0000
Sb 0.6752 0.6752 0.0000
Pb 0.0000 0.5000 0.5000
Pb 0.5000 0.0000 0.5000

Properties
For the formation energy (no corrections), the calculation gives -1.606 eV per formula unit. Its symmetry is I4/mmm. As for the density of states at the Fermi level: 3.9 states/eV per cell. The size of the total moment is 0.0 μB per formula unit. As for the total DFT energy (no corrections): -5.619 eV/atom. For the energy above the most stable polymorph in this dataset, the calculation gives 0.0097 eV/atom.